# CaHo2PuS4, relaxed, DFT PBE-GGA
# Formation energy from raw total energies in eV per atom: -1.96
# Total energy in eV per atom: -7.21
# M_tot in μB/atom: 0.74
data_CaHo2PuS4
_cell_length_a 6.827
_cell_length_b 3.923
_cell_length_c 6.833
_cell_angle_alpha 90.00
_cell_angle_beta 109.36
_cell_angle_gamma 90.00
_symmetry_space_group_name_H-M 'P 1 2/m 1'
_symmetry_Int_Tables_number 10
_symmetry_space_group_name_Hall '-P 2y'
loop_
_atom_site_label
_atom_site_type_symbol
_atom_site_fract_x
_atom_site_fract_y
_atom_site_fract_z
Ca1 Ca 0.000 0.000 0.000
Ho1 Ho 0.000 0.500 0.500
Ho2 Ho 0.500 0.000 0.500
Pu1 Pu 0.500 0.500 0.000
S1 S 0.248 0.000 0.744
S2 S 0.251 0.500 0.257